Entry from Alexandria: a relaxed structure of AcCeH6Ru2 (PBE-GGA).

Lattice parameters (Å, degrees): 4.7240 4.7240 6.7334 69.46 69.46 60.00
Last column: nearest neighbours and their distance in Å.
Sites, in units of the cell vectors:
H 0.9466 0.4332 0.1869  1 Ru 1.71
H 0.0534 0.5668 0.8131  1 Ru 1.71
H 0.5668 0.5667 0.8131  1 Ru 1.71
H 0.4332 0.4333 0.1869  1 Ru 1.71
Ac 0.0000 0.0000 0.0000  12 H 2.63
H 0.5667 0.0534 0.8131  1 Ru 1.71
Ru 0.7875 0.7875 0.6375  3 H 1.71
Ce 0.5000 0.5000 0.5000  6 H 2.38
Ru 0.2125 0.2125 0.3625  3 H 1.71
H 0.4333 0.9466 0.1869  1 Ru 1.71

Summary:
N(E_F): 5.01 states/eV/f.u.
SG: R-3m
Raw total energy: -5.250 eV per atom
M_tot: 0.00 μB per formula unit